Material: LiIn2Ir
Method: DFT, GGA-PBE
State: relaxed

extended XYZ file:
```
12
Lattice="3.1651 0.0000 0.0000 -1.5826 2.7411 0.0000 0.0000 0.0000 26.7872" Properties=species:S:1:pos:R:3 pbc="T T T"
Li 0.0000 0.0000 0.0000
Li 0.0000 1.8274 17.8582
Li 1.5826 0.9137 8.9291
In 0.0000 0.0000 6.5797
In 0.0000 0.0000 20.2075
In 0.0000 1.8274 11.2784
In 0.0000 1.8274 24.4379
In 1.5826 0.9137 2.3494
In 1.5826 0.9137 15.5088
Ir 0.0000 0.0000 13.3936
Ir 0.0000 1.8274 4.4645
Ir 1.5826 0.9137 22.3227
```

Properties
Magnetic moment, μB/cell: 0.0
Formation enthalpy at 0 K, eV per atom: -0.01
Calculated density, Mg/m³: 9.2
E, eV/atom: -4.070
Energy above the lowest structure with this stoichiometry, kJ per mole of atoms: 29.2
DOS(E_F), states/eV/atom: 0.442